No. 1
RbPI2O: optimized geometry, PBE. Values from VASP.

Calculated values
- Spin magnetization: 0.0 μB per formula unit
- DOS at the Fermi energy: 0.372 states/eV per atom
- Volume: 27.7 Å³/atom
- Space-group type: No. 123
- Relative energy among the computed polymorphs: 0 meV/atom

```
&SYSTEM
  ibrav = 0, nat = 5, ntyp = 4
/
ATOMIC_SPECIES
I 126.90 I.upf
P 30.97 P.upf
Rb 85.47 Rb.upf
O 16.00 O.upf
CELL_PARAMETERS angstrom
6.140 0.000 0.000
0.000 6.140 0.000
0.000 0.000 3.667
ATOMIC_POSITIONS angstrom
I 0.000 3.070 0.000
P 0.000 0.000 0.000
Rb 3.070 3.070 1.834
O 0.000 0.000 1.834
I 3.070 0.000 0.000
```

***

No. 2
RbP2IO: optimized geometry, PBE. Values from VASP.

Calculated values
- Spin magnetization: 5.0 μB per formula unit
- DOS at the Fermi energy: 2.082 states/eV per atom
- Volume: 38.4 Å³/atom
- Space-group type: No. 123
- Relative energy among the computed polymorphs: 845 meV/atom

```
&SYSTEM
  ibrav = 0, nat = 5, ntyp = 4
/
ATOMIC_SPECIES
O 16.00 O.upf
Rb 85.47 Rb.upf
I 126.90 I.upf
P 30.97 P.upf
CELL_PARAMETERS angstrom
6.535 0.000 0.000
0.000 6.535 0.000
0.000 0.000 4.502
ATOMIC_POSITIONS angstrom
O 0.000 0.000 2.251
Rb 0.000 0.000 0.000
I 3.267 3.267 2.251
P 0.000 3.267 0.000
P 3.267 0.000 0.000
```

***

No. 3
RbPI2O: optimized geometry, PBE. Values from VASP.

Calculated values
- Spin magnetization: 0.0 μB per formula unit
- DOS at the Fermi energy: 1.767 states/eV per atom
- Volume: 35.5 Å³/atom
- Space-group type: No. 123
- Relative energy among the computed polymorphs: 1635 meV/atom

```
&SYSTEM
  ibrav = 0, nat = 5, ntyp = 4
/
ATOMIC_SPECIES
I 126.90 I.upf
Rb 85.47 Rb.upf
P 30.97 P.upf
O 16.00 O.upf
CELL_PARAMETERS angstrom
-4.338 -0.364 -4.846
4.771 -1.556 -4.153
-0.595 -4.060 0.838
ATOMIC_POSITIONS angstrom
I -2.169 -0.182 -2.423
Rb 0.000 0.000 0.000
P -0.081 -2.990 -4.081
I 2.385 -0.778 -2.077
O -0.298 -2.030 0.419
```

***

No. 4
RePIO2: optimized geometry, PBE. Values from VASP.

Calculated values
- Spin magnetization: 0.0 μB per formula unit
- DOS at the Fermi energy: 0.353 states/eV per atom
- Volume: 16.1 Å³/atom
- Space-group type: No. 123
- Relative energy among the computed polymorphs: 0 meV/atom

```
&SYSTEM
  ibrav = 0, nat = 5, ntyp = 4
/
ATOMIC_SPECIES
O 16.00 O.upf
I 126.90 I.upf
Re 186.21 Re.upf
P 30.97 P.upf
CELL_PARAMETERS angstrom
3.850 0.000 0.000
0.000 3.850 0.000
0.000 0.000 5.420
ATOMIC_POSITIONS angstrom
O 0.000 1.925 0.000
I 1.925 1.925 2.710
Re 0.000 0.000 0.000
O 1.925 0.000 0.000
P 0.000 0.000 2.710
```

***

No. 5
RePIO2: optimized geometry, PBE. Values from VASP.

Calculated values
- Spin magnetization: 3.7 μB per formula unit
- DOS at the Fermi energy: 0.450 states/eV per atom
- Volume: 17.9 Å³/atom
- Space-group type: No. 123
- Relative energy among the computed polymorphs: 1516 meV/atom

```
&SYSTEM
  ibrav = 0, nat = 5, ntyp = 4
/
ATOMIC_SPECIES
P 30.97 P.upf
Re 186.21 Re.upf
O 16.00 O.upf
I 126.90 I.upf
CELL_PARAMETERS angstrom
-3.254 0.428 -2.104
1.371 -2.526 -2.634
-2.500 -4.445 2.961
ATOMIC_POSITIONS angstrom
P -1.250 -2.223 1.480
Re -2.191 -3.271 -0.889
O 0.686 -1.263 -1.317
I 0.000 0.000 0.000
O -1.627 0.214 -1.052
```

***

No. 6
RePI2O: optimized geometry, PBE. Values from VASP.

Calculated values
- Spin magnetization: 0.6 μB per formula unit
- DOS at the Fermi energy: 0.752 states/eV per atom
- Volume: 19.3 Å³/atom
- Space-group type: No. 123
- Relative energy among the computed polymorphs: 503 meV/atom

```
&SYSTEM
  ibrav = 0, nat = 5, ntyp = 4
/
ATOMIC_SPECIES
P 30.97 P.upf
I 126.90 I.upf
O 16.00 O.upf
Re 186.21 Re.upf
CELL_PARAMETERS angstrom
-2.049 -4.357 -2.321
2.850 -3.096 3.297
-2.546 0.017 2.217
ATOMIC_POSITIONS angstrom
P 0.000 0.000 0.000
I -1.025 -2.179 -1.161
O -1.273 0.008 1.108
I 1.425 -1.548 1.648
Re -0.873 -3.719 1.596
```

***

What did the third record say?
RbPI2O: optimized geometry, PBE. Values from VASP.

Calculated values
- Spin magnetization: 0.0 μB per formula unit
- DOS at the Fermi energy: 1.767 states/eV per atom
- Volume: 35.5 Å³/atom
- Space-group type: No. 123
- Relative energy among the computed polymorphs: 1635 meV/atom

```
&SYSTEM
  ibrav = 0, nat = 5, ntyp = 4
/
ATOMIC_SPECIES
I 126.90 I.upf
Rb 85.47 Rb.upf
P 30.97 P.upf
O 16.00 O.upf
CELL_PARAMETERS angstrom
-4.338 -0.364 -4.846
4.771 -1.556 -4.153
-0.595 -4.060 0.838
ATOMIC_POSITIONS angstrom
I -2.169 -0.182 -2.423
Rb 0.000 0.000 0.000
P -0.081 -2.990 -4.081
I 2.385 -0.778 -2.077
O -0.298 -2.030 0.419
```